# 1
Computed, not measured: an optimized crystal structure of K2Y2ZrS6 at the GGA-PBE level of DFT.

Properties
theoretical density = 2.97 g/cm³
formation energy from raw total energies = -1.8063 eV per atom
volume = 604.3 Å³ per cell

Cell lengths 6.832, 11.735, 7.883 Å; angles 90.00, 107.04, 90.00 degrees
Space group C2/m (No. 12)
Inequivalent atoms, fractional coordinates:
K: 0.000 0.169 0.000 x4
Y: 0.000 0.334 0.500 x4
Zr: 0.000 0.000 0.500 x2
S: 0.225 0.159 0.695 x8
S: 0.249 0.000 0.306 x4

***

# 2
Computed, not measured: an optimized crystal structure of K2YZrS4 at the GGA-PBE level of DFT.

Properties
theoretical density = 3.28 g/cm³
formation energy from raw total energies = -1.6672 eV per atom
volume = 195.9 Å³ per cell

Cell lengths 6.798, 3.891, 7.734 Å; angles 90.00, 106.77, 90.00 degrees
Space group P2/m (No. 10)
Inequivalent atoms, fractional coordinates:
K: 0.000 0.000 0.000 x1
K: 0.500 0.500 0.000 x1
Y: 0.000 0.500 0.500 x1
Zr: 0.500 0.000 0.500 x1
S: 0.246 0.000 0.704 x2
S: 0.277 0.500 0.300 x2

***

# 3
Computed, not measured: an optimized crystal structure of K3Y3ZrS8 at the GGA-PBE level of DFT.

Properties
theoretical density = 2.97 g/cm³
formation energy from raw total energies = -1.8306 eV per atom
volume = 1228.9 Å³ per cell

Cell lengths 7.9388, 7.9388, 22.5153 Å; angles 90.00, 90.00, 120.00 degrees
Space group R-3m (No. 166, hexagonal axes)
Inequivalent atoms, fractional coordinates:
K: 0.0000 0.5000 0.0000 x9
Y: 0.0000 0.5000 0.5000 x9
Zr: 0.0000 0.0000 0.5000 x3
S: 0.0000 0.0000 0.2338 x6
S: 0.0163 0.5081 0.2312 x18

***

# 4
Computed, not measured: an optimized crystal structure of K2ZnS2 at the GGA-PBE level of DFT.

Properties
theoretical density = 2.03 g/cm³
formation energy from raw total energies = -1.0139 eV per atom
volume = 679.4 Å³ per cell

Cell lengths 14.247, 6.103, 10.477 Å; angles 90.00, 131.76, 90.00 degrees
Space group C2/m (No. 12)
Inequivalent atoms, fractional coordinates:
K: 0.096 0.000 0.303 x4
K: 0.166 0.500 0.023 x4
Zn: 0.126 0.500 0.659 x4
S: 0.060 0.500 0.389 x4
S: 0.179 0.000 0.092 x4

***

# 5
Computed, not measured: an optimized crystal structure of KZnS3 at the GGA-PBE level of DFT.

Properties
energy relative to the lowest polymorph listed for this composition = 0 meV/atom
theoretical density = 2.97 g/cm³
formation energy from raw total energies = -0.0796 eV per atom
volume = 112.0 Å³ per cell

Cell lengths 4.821, 4.821, 4.821 Å; angles 90.00, 90.00, 90.00 degrees
Space group Pm-3m (No. 221)
Inequivalent atoms, fractional coordinates:
K: 0.000 0.000 0.000 x1
Zn: 0.500 0.500 0.500 x1
S: 0.000 0.500 0.500 x3

***

# 6
Computed, not measured: an optimized crystal structure of K2ZnS at the GGA-PBE level of DFT.

Properties
energy relative to the lowest polymorph listed for this composition = 201 meV/atom
theoretical density = 1.12 g/cm³
formation energy from raw total energies = -0.3066 eV per atom
volume = 1039.5 Å³ per cell

Cell lengths 8.691, 8.691, 13.764 Å; angles 90.00, 90.00, 90.00 degrees
Space group I-42d (No. 122)
Inequivalent atoms, fractional coordinates:
K: 0.115 0.250 0.125 x8
Zn: 0.000 0.000 0.500 x4
S: 0.000 0.000 0.000 x4